[1]
The following is a DFT calculation (GGA-PBE) of DyHoPuO6 after structural relaxation.

Lattice parameters (Å, degrees): 5.706 5.706 9.423 90.00 90.00 120.00
Sites, in units of the cell vectors:
O  0.975  0.644  0.367
O  0.332  0.975  0.633
O  0.356  0.332  0.367
O  0.668  0.644  0.133
O  0.644  0.975  0.867
O  0.332  0.356  0.867
O  0.025  0.356  0.633
O  0.356  0.025  0.133
O  0.975  0.332  0.133
O  0.644  0.668  0.633
O  0.025  0.668  0.867
O  0.668  0.025  0.367
Ho  0.667  0.333  0.750
Ho  0.333  0.667  0.250
Dy  0.000  0.000  0.000
Dy  0.000  0.000  0.500
Pu  0.667  0.333  0.250
Pu  0.333  0.667  0.750

Mass density: 8.343 g/cm³
Formation energy from raw total energies: -27.611 eV per formula unit

[2]
The following is a DFT calculation (GGA-PBE) of Li4Er9Tl11 after structural relaxation.

Lattice parameters (Å, degrees): 3.506 13.539 13.539 111.97 90.00 90.00
Sites, in units of the cell vectors:
Er  0.500  0.785  0.938
Er  0.500  0.062  0.215
Er  0.500  0.631  0.142
Er  0.500  0.142  0.631
Er  0.500  0.500  0.500
Er  0.500  0.938  0.785
Er  0.500  0.215  0.062
Er  0.500  0.858  0.369
Er  0.500  0.369  0.858
Tl  0.000  0.362  0.638
Tl  0.000  0.924  0.583
Tl  0.000  0.701  0.701
Tl  0.000  0.417  0.076
Tl  0.000  0.841  0.159
Tl  0.000  0.299  0.299
Tl  0.000  0.638  0.362
Tl  0.000  0.076  0.417
Tl  0.000  0.159  0.841
Tl  0.000  0.583  0.924
Tl  0.000  0.000  0.000
Li  0.500  0.255  0.453
Li  0.500  0.745  0.547
Li  0.500  0.453  0.255
Li  0.500  0.547  0.745

Mass density: 10.536 g/cm³
Formation enthalpy at 0 K: -0.251 eV/atom

[3]
The following is a DFT calculation (GGA-PBE) of La4CeMg5 after structural relaxation.

Lattice parameters (Å, degrees): 3.929 3.929 19.784 90.00 90.00 90.00
Sites, in units of the cell vectors:
Mg  0.500  0.500  0.702
Mg  0.500  0.500  0.500
Mg  0.500  0.500  0.095
Mg  0.500  0.500  0.905
Mg  0.500  0.500  0.298
La  0.000  0.000  0.196
La  0.000  0.000  0.399
La  0.000  0.000  0.601
La  0.000  0.000  0.804
Ce  0.000  0.000  0.000

Mass density: 4.444 g/cm³
Formation enthalpy at 0 K: -0.073 eV/atom

[4]
The following is a DFT calculation (GGA-PBE) of AcEuBi2 after structural relaxation.

Lattice parameters (Å, degrees): 5.836 5.836 5.836 60.00 60.00 60.00
Sites, in units of the cell vectors:
Bi  0.250  0.250  0.250
Bi  0.750  0.750  0.750
Ac  0.500  0.500  0.500
Eu  0.000  0.000  0.000

Mass density: 9.417 g/cm³
Formation enthalpy at 0 K: -0.761 eV/atom
Relative energy among the computed polymorphs: 0.084 eV/atom

[5]
The following is a DFT calculation (GGA-PBE) of TcBrCl4 after structural relaxation.

Lattice parameters (Å, degrees): 5.788 5.788 5.788 60.00 60.00 60.00
Sites, in units of the cell vectors:
Cl  0.376  0.873  0.376
Cl  0.376  0.376  0.376
Cl  0.873  0.376  0.376
Cl  0.376  0.376  0.873
Tc  0.750  0.750  0.750
Br  0.000  0.000  0.000

Mass density: 3.872 g/cm³
Formation energy from raw total energies: 5.562 eV per formula unit
Relative energy among the computed polymorphs: 1.429 eV/atom

[6]
The following is a DFT calculation (GGA-PBE) of CsK14Cd after structural relaxation.

Lattice parameters (Å, degrees): 10.724 10.724 9.761 90.00 90.00 90.01
Sites, in units of the cell vectors:
Cd  0.375  0.375  0.500
K  0.875  0.875  0.000
K  0.595  0.595  0.268
K  0.375  0.875  0.000
K  0.875  0.375  0.500
K  0.595  0.155  0.268
K  0.155  0.595  0.732
K  0.375  0.375  0.000
K  0.155  0.155  0.268
K  0.155  0.595  0.268
K  0.155  0.155  0.732
K  0.375  0.875  0.500
K  0.595  0.595  0.732
K  0.595  0.155  0.732
K  0.875  0.375  0.000
Cs  0.875  0.875  0.500

Mass density: 1.172 g/cm³
Formation enthalpy at 0 K: 0.016 eV/atom

[7]
The following is a DFT calculation (GGA-PBE) of Sn2PN after structural relaxation.

Lattice parameters (Å, degrees): 5.817 5.817 6.665 64.13 64.13 90.00
Sites, in units of the cell vectors:
N  0.500  0.500  0.000
N  0.250  0.750  0.500
Sn  0.571  0.125  0.250
Sn  0.375  0.429  0.750
Sn  0.875  0.821  0.750
Sn  0.179  0.625  0.250
P  0.750  0.250  0.500
P  0.000  0.000  0.000

Mass density: 5.284 g/cm³
Formation energy from raw total energies: 1.444 eV per formula unit
Relative energy among the computed polymorphs: 0.000 eV/atom

[8]
The following is a DFT calculation (GGA-PBE) of CaGa4Ir2Pt after structural relaxation.

Lattice parameters (Å, degrees): 4.281 4.281 9.191 76.53 76.53 60.00
Sites, in units of the cell vectors:
Ir  0.767  0.767  0.699
Ir  0.233  0.233  0.301
Ca  0.000  0.000  0.000
Pt  0.500  0.500  0.500
Ga  0.871  0.871  0.387
Ga  0.129  0.129  0.613
Ga  0.400  0.400  0.801
Ga  0.600  0.600  0.199

Mass density: 10.619 g/cm³
Formation enthalpy at 0 K: -0.480 eV/atom

[9]
The following is a DFT calculation (GGA-PBE) of La4PmNd5 after structural relaxation.

Lattice parameters (Å, degrees): 6.131 10.737 10.735 90.00 90.00 90.00
Sites, in units of the cell vectors:
Nd  0.001  0.000  0.500
Nd  0.155  0.160  0.160
Nd  0.845  0.340  0.340
Nd  0.155  0.840  0.160
Nd  0.845  0.340  0.660
Nd  0.845  0.660  0.660
Nd  0.845  0.660  0.340
Nd  0.999  0.500  0.000
Nd  0.155  0.840  0.840
Nd  0.155  0.160  0.840
Pm  0.666  0.000  0.000
Pm  0.334  0.500  0.500
La  0.370  0.799  0.500
La  0.369  0.500  0.799
La  0.369  0.500  0.201
La  0.631  0.000  0.299
La  0.630  0.701  0.000
La  0.370  0.201  0.500
La  0.630  0.299  0.000
La  0.631  0.000  0.701

Mass density: 6.682 g/cm³
Formation enthalpy at 0 K: 0.142 eV/atom
Relative energy among the computed polymorphs: 0.000 eV/atom

[10]
The following is a DFT calculation (GGA-PBE) of LiCa2BiO after structural relaxation.

Lattice parameters (Å, degrees): 4.822 4.822 4.493 90.00 90.00 90.00
Sites, in units of the cell vectors:
Bi  0.500  0.500  0.500
O  0.000  0.000  0.000
Ca  0.000  0.500  0.000
Ca  0.500  0.000  0.000
Li  0.000  0.000  0.500

Mass density: 4.959 g/cm³
Formation energy from raw total energies: -8.039 eV per formula unit

[11]
The following is a DFT calculation (GGA-PBE) of DyTmBr2 after structural relaxation.

Lattice parameters (Å, degrees): 3.636 3.636 10.161 79.69 79.69 60.00
Sites, in units of the cell vectors:
Br  0.096  0.096  0.712
Br  0.904  0.904  0.288
Dy  0.500  0.500  0.500
Tm  0.000  0.000  0.000

Mass density: 7.165 g/cm³
Formation energy from raw total energies: -3.832 eV per formula unit

[12]
The following is a DFT calculation (GGA-PBE) of ThSnTeN after structural relaxation.

Lattice parameters (Å, degrees): 4.191 4.191 11.675 90.00 90.00 90.00
Sites, in units of the cell vectors:
N  0.250  0.750  0.000
N  0.750  0.250  0.000
Te  0.250  0.250  0.734
Te  0.750  0.750  0.266
Th  0.750  0.750  0.905
Th  0.250  0.250  0.095
Sn  0.750  0.250  0.500
Sn  0.250  0.750  0.500

Mass density: 7.975 g/cm³
Formation energy from raw total energies: -4.351 eV per formula unit

[13]
The following is a DFT calculation (GGA-PBE) of TiIn2Rh3 after structural relaxation.

Lattice parameters (Å, degrees): 4.346 6.888 6.893 90.00 90.00 71.61
Sites, in units of the cell vectors:
Rh  0.172  0.656  0.775
Rh  0.172  0.656  0.225
Rh  0.500  0.000  0.244
Rh  0.500  0.000  0.756
Rh  0.828  0.344  0.225
Rh  0.828  0.344  0.775
In  0.000  0.000  0.000
In  0.669  0.662  0.500
In  0.331  0.338  0.500
In  0.000  0.000  0.500
Ti  0.337  0.327  0.000
Ti  0.663  0.673  0.000

Mass density: 9.941 g/cm³
Formation enthalpy at 0 K: -0.589 eV/atom
Relative energy among the computed polymorphs: 0.000 eV/atom

[14]
The following is a DFT calculation (GGA-PBE) of NdGa4IrPd2 after structural relaxation.

Lattice parameters (Å, degrees): 4.295 4.295 9.276 76.62 76.62 60.00
Sites, in units of the cell vectors:
Pd  0.764  0.764  0.707
Pd  0.236  0.236  0.293
Ga  0.599  0.599  0.202
Ga  0.866  0.866  0.401
Ga  0.401  0.401  0.798
Ga  0.134  0.134  0.599
Ir  0.500  0.500  0.500
Nd  0.000  0.000  0.000

Mass density: 9.633 g/cm³
Formation enthalpy at 0 K: -0.609 eV/atom

[15]
The following is a DFT calculation (GGA-PBE) of Se3IBr after structural relaxation.

Lattice parameters (Å, degrees): 5.451 5.451 5.451 90.00 90.00 90.00
Sites, in units of the cell vectors:
Br  0.500  0.500  0.500
Se  0.500  0.000  0.000
Se  0.000  0.500  0.000
Se  0.000  0.000  0.500
I  0.000  0.000  0.000

Mass density: 4.549 g/cm³
Formation energy from raw total energies: 4.593 eV per formula unit
Relative energy among the computed polymorphs: 0.890 eV/atom

[16]
The following is a DFT calculation (GGA-PBE) of KTaNi after structural relaxation.

Lattice parameters (Å, degrees): 4.482 4.482 4.482 60.00 60.00 60.00
Sites, in units of the cell vectors:
K  0.250  0.250  0.250
Ta  0.500  0.500  0.500
Ni  0.000  0.000  0.000

Mass density: 7.271 g/cm³
Formation enthalpy at 0 K: 2.660 eV/atom
Relative energy among the computed polymorphs: 2.049 eV/atom

[17]
The following is a DFT calculation (GGA-PBE) of Hg3ClO after structural relaxation.

Lattice parameters (Å, degrees): 6.701 7.452 16.693 90.00 41.91 90.00
Sites, in units of the cell vectors:
Hg  0.136  0.245  0.028
Hg  0.256  0.011  0.251
Hg  0.636  0.255  0.528
Hg  0.744  0.989  0.749
Hg  0.244  0.511  0.249
Hg  0.756  0.489  0.751
Hg  0.740  0.248  0.265
Hg  0.364  0.745  0.472
Hg  0.864  0.755  0.972
Hg  0.240  0.252  0.765
Hg  0.260  0.752  0.735
Hg  0.760  0.748  0.235
Cl  0.771  0.752  0.517
Cl  0.729  0.252  0.983
Cl  0.271  0.748  0.017
Cl  0.229  0.248  0.483
O  0.519  0.759  0.169
O  0.981  0.259  0.331
O  0.481  0.241  0.831
O  0.019  0.741  0.669

Mass density: 7.792 g/cm³
Formation energy from raw total energies: -1.220 eV per formula unit
Relative energy among the computed polymorphs: 0.094 eV/atom

[18]
The following is a DFT calculation (GGA-PBE) of Ca4TlP after structural relaxation.

Lattice parameters (Å, degrees): 6.772 8.197 8.197 110.18 105.94 105.94
Sites, in units of the cell vectors:
Ca  0.069  0.944  0.281
Ca  0.431  0.719  0.056
Ca  0.931  0.056  0.719
Ca  0.700  0.216  0.349
Ca  0.569  0.281  0.944
Ca  0.200  0.349  0.216
Ca  0.300  0.784  0.651
Ca  0.800  0.651  0.784
Tl  0.750  0.634  0.366
Tl  0.250  0.366  0.634
P  0.250  0.993  0.007
P  0.750  0.007  0.993

Mass density: 3.507 g/cm³
Formation enthalpy at 0 K: -0.568 eV/atom
Relative energy among the computed polymorphs: 0.000 eV/atom

[19]
The following is a DFT calculation (GGA-PBE) of LaP2Pt after structural relaxation.

Lattice parameters (Å, degrees): 3.946 4.407 4.913 84.61 90.00 90.00
Sites, in units of the cell vectors:
La  0.500  0.750  0.750
P  0.000  0.163  0.978
P  0.000  0.337  0.522
Pt  0.500  0.250  0.250

Mass density: 7.728 g/cm³
Formation enthalpy at 0 K: -1.006 eV/atom
Relative energy among the computed polymorphs: 0.000 eV/atom

[20]
The following is a DFT calculation (GGA-PBE) of Th2BeCrN5 after structural relaxation.

Lattice parameters (Å, degrees): 3.304 6.899 9.726 90.00 90.00 103.85
Sites, in units of the cell vectors:
N  0.502  0.004  0.786
N  0.055  0.111  0.018
N  0.498  0.996  0.286
N  0.341  0.682  0.013
N  0.691  0.381  0.879
N  0.945  0.889  0.518
N  0.701  0.402  0.155
N  0.309  0.619  0.379
N  0.299  0.598  0.655
N  0.659  0.318  0.513
Cr  0.807  0.614  0.517
Cr  0.193  0.386  0.017
Be  0.435  0.871  0.442
Be  0.565  0.129  0.942
Th  0.122  0.244  0.693
Th  0.871  0.742  0.821
Th  0.878  0.756  0.193
Th  0.129  0.258  0.321

Mass density: 9.181 g/cm³
Formation energy from raw total energies: -8.963 eV per formula unit

[21]
The following is a DFT calculation (GGA-PBE) of NdSm8Dy4 after structural relaxation.

Lattice parameters (Å, degrees): 11.095 11.095 7.852 90.00 134.95 120.00
Sites, in units of the cell vectors:
Nd  0.000  0.500  0.500
Sm  0.521  0.760  0.759
Sm  0.001  0.240  0.241
Sm  0.521  0.761  0.282
Sm  0.999  0.238  0.759
Sm  0.001  0.762  0.241
Sm  0.999  0.760  0.759
Sm  0.479  0.239  0.718
Sm  0.479  0.240  0.241
Dy  0.500  0.500  0.000
Dy  0.000  0.500  0.000
Dy  0.500  0.000  0.000
Dy  0.000  0.000  0.000

Mass density: 6.850 g/cm³
Formation enthalpy at 0 K: 0.486 eV/atom

[22]
The following is a DFT calculation (GGA-PBE) of K2NaGeC after structural relaxation.

Lattice parameters (Å, degrees): 6.265 3.977 6.265 90.00 90.00 90.00
Sites, in units of the cell vectors:
C  0.000  0.000  0.000
K  0.500  0.000  0.000
K  0.000  0.000  0.500
Na  0.500  0.500  0.500
Ge  0.000  0.500  0.000

Mass density: 1.977 g/cm³
Formation enthalpy at 0 K: 0.586 eV/atom